# 1
A plane-wave DFT calculation with PBE was carried out for Tb2Zr2Ni after structural relaxation.

Cell lengths 4.7955, 4.7955, 10.8473 Å; angles 90.00, 90.00, 120.00 degrees
Sites, in units of the cell vectors:
Tb 0.3333 0.6667 0.0952
Tb 0.3333 0.6667 0.4048
Tb 0.6667 0.3333 0.5952
Tb 0.6667 0.3333 0.9048
Zr 0.0000 0.0000 0.0000
Zr 0.0000 0.0000 0.5000
Zr 0.3333 0.6667 0.7500
Zr 0.6667 0.3333 0.2500
Ni 0.0000 0.0000 0.2500
Ni 0.0000 0.0000 0.7500

Calculated values
energy of formation = 0.1702 eV/atom
calculated total energy = -6.214 eV per atom
magnetic moment = 0.00 μB per formula unit


# 2
A plane-wave DFT calculation with PBE was carried out for GdYGa6 after structural relaxation.

Cell lengths 6.2935, 6.2935, 4.5781 Å; angles 90.00, 90.00, 120.00 degrees
Sites, in units of the cell vectors:
Gd 0.0000 0.0000 0.0000
Y 0.6667 0.3333 0.5000
Ga 0.0369 0.5185 0.0000
Ga 0.1853 0.3707 0.5000
Ga 0.1853 0.8147 0.5000
Ga 0.4815 0.5185 0.0000
Ga 0.4815 0.9631 0.0000
Ga 0.6293 0.8147 0.5000

Calculated values
calculated total energy = -4.209 eV per atom
magnetic moment = 0.00 μB per formula unit


# 3
A plane-wave DFT calculation with PBE was carried out for Pt3Pb2O2 after structural relaxation.

Cell lengths 5.5948, 5.5948, 5.5948 Å; angles 66.52, 66.52, 66.52 degrees
Sites, in units of the cell vectors:
Pt 0.0000 0.5000 0.5000
Pt 0.5000 0.0000 0.5000
Pt 0.5000 0.5000 0.0000
Pb 0.0000 0.0000 0.0000
Pb 0.5000 0.5000 0.5000
O 0.2499 0.2499 0.2499
O 0.7501 0.7501 0.7501

Calculated values
calculated total energy = -5.303 eV per atom
magnetic moment = 0.00 μB per formula unit


# 4
A plane-wave DFT calculation with PBE was carried out for PrPbAuO3 after structural relaxation.

Cell lengths 6.6805, 6.6805, 8.7082 Å; angles 90.00, 90.00, 146.39 degrees
Sites, in units of the cell vectors:
Pr 0.0000 0.0000 0.0000
Pr 0.0000 0.0000 0.5000
Pb 0.3142 0.6858 0.7500
Pb 0.6858 0.3142 0.2500
Au 0.3716 0.6284 0.2500
Au 0.6284 0.3716 0.7500
O 0.0792 0.9208 0.2500
O 0.3833 0.6167 0.0161
O 0.3833 0.6167 0.4839
O 0.6167 0.3833 0.5161
O 0.6167 0.3833 0.9839
O 0.9208 0.0792 0.7500

Calculated values
calculated total energy = -6.141 eV per atom
magnetic moment = 0.00 μB per formula unit


# 5
A plane-wave DFT calculation with PBE was carried out for NpSiPd after structural relaxation.

Cell lengths 4.4943, 4.4943, 4.4943 Å; angles 60.00, 60.00, 60.00 degrees
Sites, in units of the cell vectors:
Np 0.0000 0.0000 0.0000
Si 0.5000 0.5000 0.5000
Pd 0.2500 0.2500 0.2500

Calculated values
calculated total energy = -7.951 eV per atom
magnetic moment = 3.06 μB per formula unit


# 6
A plane-wave DFT calculation with PBE was carried out for Fe2GeTe4 after structural relaxation.

Cell lengths 7.8677, 7.8677, 7.8677 Å; angles 60.00, 60.00, 60.00 degrees
Sites, in units of the cell vectors:
Fe 0.0000 0.0000 0.0000
Fe 0.0000 0.0000 0.5000
Fe 0.0000 0.5000 0.0000
Fe 0.5000 0.0000 0.0000
Ge 0.3750 0.3750 0.3750
Ge 0.6250 0.6250 0.6250
Te 0.1933 0.7689 0.7689
Te 0.2311 0.2311 0.2311
Te 0.2311 0.2311 0.8067
Te 0.2311 0.8067 0.2311
Te 0.7689 0.1933 0.7689
Te 0.7689 0.7689 0.1933
Te 0.7689 0.7689 0.7689
Te 0.8067 0.2311 0.2311

Calculated values
calculated total energy = -4.814 eV per atom
magnetic moment = 0.98 μB per formula unit


no.,volume (Å³/f.u.)
1,108.02
2,157.04
3,141.22
4,107.56
5,64.19
6,172.18